(a)
Compound: BeCrCd
Source: the Alexandria database
Functional: GGA-PBE
Structure: relaxed

Cell and atoms, written as POSCAR:
```
BeCrCd
1.0
4.0660 0.0000 0.0000
2.0330 3.5212 0.0000
2.0330 1.1737 3.3198
Cr Cd Be
1 1 1
Direct
0.5000 0.5000 0.5000
0.0000 0.0000 0.0000
0.7500 0.7500 0.7500
```

## Properties
* space-group type: F-43m

(b)
Compound: BeCrCd
Source: the Alexandria database
Functional: GGA-PBE
Structure: relaxed

Cell and atoms, written as POSCAR:
```
BeCrCd
1.0
2.7089 0.0000 0.0000
-1.3545 2.3460 0.0000
0.0000 0.0000 6.6056
Be Cr Cd
1 1 1
Direct
0.0000 0.0000 0.9730
0.3333 0.6667 0.6981
0.6667 0.3333 0.3289
```

## Properties
* space-group type: P3m1

Stability check: which of them is least stable? (b).

(a)
Compound: BeCrCd
Source: the Alexandria database
Functional: GGA-PBE
Structure: relaxed

Cell and atoms, written as POSCAR:
```
BeCrCd
1.0
-0.0869 -0.5373 2.5848
-8.0756 -4.6306 -1.2342
1.7275 -2.8688 -0.5395
Be Cr Cd
2 2 2
Direct
0.0000 0.7167 0.0000
0.0000 0.2167 0.5000
0.5000 0.8068 0.5000
0.5000 0.3068 0.0000
0.0000 0.5160 0.5000
0.0000 0.0160 0.0000
```

## Properties
* space-group type: Amm2

(b)
Compound: BeCrCd
Source: the Alexandria database
Functional: GGA-PBE
Structure: relaxed

Cell and atoms, written as POSCAR:
```
BeCrCd
1.0
-5.4382 0.3407 0.1939
-4.0434 -3.5499 0.8516
4.8356 1.9860 1.5325
Cr Be Cd
1 1 1
Direct
0.6405 0.6408 0.9998
0.0157 0.0155 0.0001
0.3438 0.3437 0.0001
```

## Properties
* space-group type: Cm

Stability check: which of them is least stable? (a).

(a)
Compound: CsBe3Cd
Source: the Alexandria database
Functional: GGA-PBE
Structure: relaxed

Cell and atoms, written as POSCAR:
```
CsBe3Cd
1.0
-2.5128 -0.6393 -4.1014
-2.3581 -3.7257 2.0255
-3.4160 3.0421 1.6187
Cd Cs Be
1 1 3
Direct
0.0000 0.0000 0.0000
0.5000 0.5000 0.5000
0.0000 0.5000 0.0000
0.5000 0.0000 0.0000
0.0000 0.0000 0.5000
```

## Properties
* space-group type: Pm-3m

(b)
Compound: CsBe3Cd
Source: the Alexandria database
Functional: GGA-PBE
Structure: relaxed

Cell and atoms, written as POSCAR:
```
CsBe3Cd
1.0
-6.3378 1.9329 0.2513
-0.8661 -2.0269 -6.2537
-1.7461 -6.0102 2.1898
Be Cs Cd
3 1 1
Direct
0.5000 0.0000 0.0000
0.0000 0.0000 0.5000
0.0000 0.5000 0.0000
0.0000 0.0000 0.0000
0.5000 0.5000 0.5000
```

## Properties
* space-group type: Pm-3m

Stability check: which of them is least stable? (b).